An optimized crystal structure of MnTlF3, computed with PBE with a Hubbard U.

a b c (Å): 3.656 3.656 6.825
angles (deg): 90.00 90.00 90.00
Space group P4mm (No. 99)
Asymmetric unit:
Mn 0.000 0.000 0.000 x1
Tl 0.500 0.500 0.570 x1
F 0.000 0.500 0.840 x2
F 0.500 0.500 0.167 x1

Properties
* total energy: -5.1027 eV/atom
* volume: 18.2 Å³/atom